1.
Computed, not measured: a relaxed Cs2RbReS4 crystal at the PBE-GGA level of DFT.

Results
Formation energy without anion corrections: -0.815 eV/atom
SG: I-4, No. 82
Magnetization: 4.0 Bohr magnetons per cell
Final energy: -76.3 eV/cell

Lattice parameters (Å, degrees): 8.454 8.454 8.818 90.00 90.00 90.00
Sites, in units of the cell vectors:
Cs1 0.000 0.000 0.000
Cs2 0.000 0.500 0.250
Cs3 0.500 0.000 0.750
Cs4 0.500 0.500 0.500
Rb1 0.000 0.500 0.750
Rb2 0.500 0.000 0.250
Re1 0.000 0.000 0.500
Re2 0.500 0.500 0.000
S1 0.146 0.837 0.642
S2 0.163 0.146 0.358
S3 0.337 0.354 0.858
S4 0.354 0.663 0.142
S5 0.646 0.337 0.142
S6 0.663 0.646 0.858
S7 0.837 0.854 0.358
S8 0.854 0.163 0.642

---

2.
Computed, not measured: a relaxed AlCdSeO6 crystal at the PBE-GGA level of DFT.

Results
Formation energy without anion corrections: -1.233 eV/atom
SG: P-31c, No. 163
Magnetization: 2.1 Bohr magnetons per cell
Final energy: -98.0 eV/cell

Lattice parameters (Å, degrees): 4.967 4.967 9.676 90.00 90.00 120.00
Sites, in units of the cell vectors:
Al1 0.333 0.667 0.250
Al2 0.667 0.333 0.750
Cd1 0.000 0.000 0.000
Cd2 0.000 0.000 0.500
Se1 0.333 0.667 0.750
Se2 0.667 0.333 0.250
O1 0.014 0.379 0.645
O2 0.014 0.635 0.855
O3 0.365 0.379 0.855
O4 0.365 0.986 0.645
O5 0.379 0.014 0.145
O6 0.379 0.365 0.355
O7 0.621 0.635 0.645
O8 0.621 0.986 0.855
O9 0.635 0.014 0.355
O10 0.635 0.621 0.145
O11 0.986 0.365 0.145
O12 0.986 0.621 0.355

---

3.
Computed, not measured: a relaxed CsNp2Tl3Te6 crystal at the PBE-GGA level of DFT.

Results
Formation energy without anion corrections: -0.553 eV/atom
SG: C2/m, No. 12
Magnetization: 6.1 Bohr magnetons per cell
Final energy: -59.3 eV/cell

Lattice parameters (Å, degrees): 10.963 10.963 9.855 100.34 100.34 23.98
Sites, in units of the cell vectors:
Cs1 0.000 0.000 0.000
Np1 0.321 0.321 0.654
Np2 0.679 0.679 0.346
Tl1 0.000 0.000 0.500
Tl2 0.335 0.335 0.166
Tl3 0.665 0.665 0.834
Te1 0.175 0.175 0.564
Te2 0.183 0.183 0.135
Te3 0.459 0.459 0.705
Te4 0.541 0.541 0.295
Te5 0.817 0.817 0.865
Te6 0.825 0.825 0.436

---

4.
Computed, not measured: a relaxed Nd2YHo crystal at the PBE-GGA level of DFT.

Results
E_form: 0.46 kcal/mol of atoms
SG: P4/mmm, No. 123
Magnetization: 0.0 Bohr magnetons per cell
Final energy: -20.5 eV/cell

Lattice parameters (Å, degrees): 5.137 5.137 5.059 90.00 90.00 90.00
Sites, in units of the cell vectors:
Nd1 0.000 0.500 0.000
Nd2 0.500 0.000 0.000
Y1 0.000 0.000 0.500
Ho1 0.500 0.500 0.500

---

5.
Computed, not measured: a relaxed BaTaTc2 crystal at the PBE-GGA level of DFT.

Results
E_form: 26.15 kcal/mol of atoms
SG: F-43m, No. 216
Magnetization: 0.0 Bohr magnetons per cell
Final energy: -119.9 eV/cell

Lattice parameters (Å, degrees): 6.739 6.739 6.739 90.00 90.00 90.00
Sites, in units of the cell vectors:
Ba1 0.000 0.000 0.000
Ba2 0.000 0.500 0.500
Ba3 0.500 0.000 0.500
Ba4 0.500 0.500 0.000
Ta1 0.250 0.250 0.250
Ta2 0.250 0.750 0.750
Ta3 0.750 0.250 0.750
Ta4 0.750 0.750 0.250
Tc1 0.000 0.000 0.500
Tc2 0.000 0.500 0.000
Tc3 0.250 0.250 0.750
Tc4 0.250 0.750 0.250
Tc5 0.500 0.000 0.000
Tc6 0.500 0.500 0.500
Tc7 0.750 0.250 0.250
Tc8 0.750 0.750 0.750

---

6.
Computed, not measured: a relaxed SrSnMo2 crystal at the PBE-GGA level of DFT.

Results
E_form: 27.13 kcal/mol of atoms
SG: I-42d, No. 122
Magnetization: 0.0 Bohr magnetons per cell
Final energy: -90.6 eV/cell

Lattice parameters (Å, degrees): 8.122 8.122 5.767 90.00 90.00 90.00
Sites, in units of the cell vectors:
Sr1 0.000 0.000 0.000
Sr2 0.000 0.500 0.250
Sr3 0.500 0.000 0.750
Sr4 0.500 0.500 0.500
Sn1 0.000 0.000 0.500
Sn2 0.000 0.500 0.750
Sn3 0.500 0.000 0.250
Sn4 0.500 0.500 0.000
Mo1 0.206 0.250 0.625
Mo2 0.250 0.706 0.875
Mo3 0.250 0.794 0.375
Mo4 0.294 0.250 0.125
Mo5 0.706 0.750 0.125
Mo6 0.750 0.206 0.375
Mo7 0.750 0.294 0.875
Mo8 0.794 0.750 0.625

---

7.
Computed, not measured: a relaxed La2HfNbBr crystal at the PBE-GGA level of DFT.

Results
Formation energy without anion corrections: 0.523 eV/atom
SG: P4/mmm, No. 123
Magnetization: 0.0 Bohr magnetons per cell
Final energy: -28.9 eV/cell

Lattice parameters (Å, degrees): 5.539 5.539 4.942 90.00 90.00 90.00
Sites, in units of the cell vectors:
La1 0.000 0.500 0.000
La2 0.500 0.000 0.000
Hf1 0.000 0.000 0.500
Nb1 0.500 0.500 0.500
Br1 0.000 0.000 0.000

---

8.
Computed, not measured: a relaxed K2HfTlTc crystal at the PBE-GGA level of DFT.

Results
E_form: 23.39 kcal/mol of atoms
SG: P4/mmm, No. 123
Magnetization: 0.0 Bohr magnetons per cell
Final energy: -19.8 eV/cell

Lattice parameters (Å, degrees): 6.380 6.380 4.697 90.00 90.00 90.00
Sites, in units of the cell vectors:
K1 0.000 0.500 0.000
K2 0.500 0.000 0.000
Hf1 0.000 0.000 0.500
Tl1 0.500 0.500 0.500
Tc1 0.000 0.000 0.000

---

9.
Computed, not measured: a relaxed PrErCuIr crystal at the PBE-GGA level of DFT.

Results
E_form: -11.71 kcal/mol of atoms
SG: Amm2, No. 38
Magnetization: 0.0 Bohr magnetons per cell
Final energy: -48.7 eV/cell

Lattice parameters (Å, degrees): 4.331 3.906 10.675 90.00 90.00 90.00
Sites, in units of the cell vectors:
Pr1 0.000 0.000 0.000
Pr2 0.000 0.500 0.500
Er1 0.500 0.000 0.722
Er2 0.500 0.500 0.222
Cu1 0.500 0.000 0.426
Cu2 0.500 0.500 0.926
Ir1 0.000 0.000 0.277
Ir2 0.000 0.500 0.777

---

10.
Computed, not measured: a relaxed K2BaTe crystal at the PBE-GGA level of DFT.

Results
Formation energy without anion corrections: -0.461 eV/atom
SG: I-4m2, No. 119
Magnetization: 3.1 Bohr magnetons per cell
Final energy: -18.2 eV/cell

Lattice parameters (Å, degrees): 5.489 5.489 11.704 90.00 90.00 90.00
Sites, in units of the cell vectors:
K1 0.000 0.000 0.000
K2 0.000 0.500 0.250
K3 0.500 0.000 0.750
K4 0.500 0.500 0.500
Ba1 0.000 0.000 0.500
Ba2 0.500 0.500 0.000
Te1 0.000 0.500 0.750
Te2 0.500 0.000 0.250

---

11.
Computed, not measured: a relaxed CaCl2 crystal at the PBE-GGA level of DFT.

Results
Formation energy without anion corrections: -2.234 eV/atom
SG: P6_3/mmc, No. 194
Magnetization: 0.0 Bohr magnetons per cell
Final energy: -24.8 eV/cell

Lattice parameters (Å, degrees): 3.942 3.942 13.597 90.00 90.00 120.00
Sites, in units of the cell vectors:
Ca1 0.000 0.000 0.250
Ca2 0.000 0.000 0.750
Cl1 0.333 0.667 0.131
Cl2 0.333 0.667 0.369
Cl3 0.667 0.333 0.631
Cl4 0.667 0.333 0.869

---

12.
Computed, not measured: a relaxed Li2CeI4 crystal at the PBE-GGA level of DFT.

Results
Formation energy without anion corrections: -1.158 eV/atom
SG: Imma, No. 74
Magnetization: 3.9 Bohr magnetons per cell
Final energy: -48.1 eV/cell

Lattice parameters (Å, degrees): 9.062 9.062 9.062 124.43 119.36 86.81
Sites, in units of the cell vectors:
Li1 0.000 0.000 0.000
Li2 0.370 0.620 0.750
Li3 0.500 0.000 0.500
Li4 0.630 0.380 0.250
Ce1 0.000 0.000 0.500
Ce2 0.000 0.500 0.000
I1 0.246 0.232 0.487
I2 0.246 0.759 0.013
I3 0.256 0.237 0.019
I4 0.281 0.763 0.519
I5 0.719 0.237 0.481
I6 0.744 0.763 0.981
I7 0.754 0.241 0.987
I8 0.754 0.768 0.513

---

Q: Look up the magnetization of the eighth one.
A: 0.0 Bohr magnetons per cell

---

Please write out number 7 again, unchanged.
Computed, not measured: a relaxed La2HfNbBr crystal at the PBE-GGA level of DFT.

Results
Formation energy without anion corrections: 0.523 eV/atom
SG: P4/mmm, No. 123
Magnetization: 0.0 Bohr magnetons per cell
Final energy: -28.9 eV/cell

Lattice parameters (Å, degrees): 5.539 5.539 4.942 90.00 90.00 90.00
Sites, in units of the cell vectors:
La1 0.000 0.500 0.000
La2 0.500 0.000 0.000
Hf1 0.000 0.000 0.500
Nb1 0.500 0.500 0.500
Br1 0.000 0.000 0.000